DFT (PBE-GGA) results for a relaxed structure of Ca2TaCoTc.

Cell lengths 5.753, 5.753, 4.526 Å; angles 90.00, 90.00, 90.00 degrees
Fractional positions:
1 Ca 0.000 0.500 0.000
2 Ca 0.500 0.000 0.000
3 Ta 0.000 0.000 0.000
4 Co 0.500 0.500 0.500
5 Tc 0.000 0.000 0.500

Computed properties:
D(E_F)   9.220 states/eV/f.u.
Spin magnetization   0.08 μB per formula unit
Formation enthalpy at 0 K   8.23 eV per formula unit

---

DFT (PBE-GGA) results for a relaxed structure of Co5Ni2Rh.

Cell lengths 4.088, 10.182, 4.388 Å; angles 90.00, 90.00, 90.00 degrees
Fractional positions:
1 Co 0.250 0.004 0.165
2 Co 0.250 0.120 0.666
3 Co 0.250 0.250 0.184
4 Co 0.250 0.380 0.666
5 Co 0.250 0.496 0.165
6 Co 0.750 0.504 0.835
7 Co 0.750 0.620 0.334
8 Co 0.750 0.750 0.816
9 Co 0.750 0.880 0.334
10 Co 0.750 0.996 0.835
11 Ni 0.250 0.622 0.664
12 Ni 0.250 0.878 0.664
13 Ni 0.750 0.122 0.336
14 Ni 0.750 0.378 0.336
15 Rh 0.250 0.750 0.163
16 Rh 0.750 0.250 0.837

Computed properties:
D(E_F)   6.189 states/eV/f.u.
Spin magnetization   10.73 μB per formula unit
Energy above the lowest structure with this stoichiometry   0 meV/atom
Formation enthalpy at 0 K   -0.05 eV per formula unit

---

DFT (PBE-GGA) results for a relaxed structure of NdHoMg.

Cell lengths 7.961, 7.961, 5.183 Å; angles 90.00, 90.00, 120.00 degrees
Fractional positions:
1 Nd 0.000 0.420 0.000
2 Nd 0.420 0.000 0.000
3 Nd 0.580 0.580 0.000
4 Ho 0.000 0.756 0.500
5 Ho 0.244 0.244 0.500
6 Ho 0.756 0.000 0.500
7 Mg 0.000 0.000 0.000
8 Mg 0.333 0.667 0.500
9 Mg 0.667 0.333 0.500

Computed properties:
D(E_F)   4.459 states/eV/f.u.
Spin magnetization   0.00 μB per formula unit
Energy above the lowest structure with this stoichiometry   165 meV/atom
Formation enthalpy at 0 K   0.35 eV per formula unit

---

DFT (PBE-GGA) results for a relaxed structure of VPPt.

Cell lengths 5.695, 5.695, 5.695 Å; angles 90.00, 90.00, 90.00 degrees
Fractional positions:
1 V 0.000 0.000 0.000
2 V 0.000 0.500 0.500
3 V 0.500 0.000 0.500
4 V 0.500 0.500 0.000
5 P 0.250 0.250 0.250
6 P 0.250 0.750 0.750
7 P 0.750 0.250 0.750
8 P 0.750 0.750 0.250
9 Pt 0.000 0.000 0.500
10 Pt 0.000 0.500 0.000
11 Pt 0.500 0.000 0.000
12 Pt 0.500 0.500 0.500

Computed properties:
D(E_F)   1.891 states/eV/f.u.
Spin magnetization   2.22 μB per formula unit
Formation enthalpy at 0 K   -1.46 eV per formula unit

---

DFT (PBE-GGA) results for a relaxed structure of CoRe2AsCl.

Cell lengths 4.321, 4.321, 4.763 Å; angles 90.00, 90.00, 90.00 degrees
Fractional positions:
1 Co 0.000 0.000 0.000
2 Re 0.000 0.500 0.500
3 Re 0.500 0.000 0.500
4 As 0.500 0.500 0.000
5 Cl 0.500 0.500 0.500

Computed properties:
D(E_F)   7.071 states/eV/f.u.
Spin magnetization   1.31 μB per formula unit
Energy relative to the elements, uncorrected   2.1034 eV per atom

---

DFT (PBE-GGA) results for a relaxed structure of AcPrDyIn.

Cell lengths 8.030, 8.030, 8.030 Å; angles 90.00, 90.00, 90.00 degrees
Fractional positions:
1 Ac 0.000 0.000 0.000
2 Ac 0.000 0.500 0.500
3 Ac 0.500 0.000 0.500
4 Ac 0.500 0.500 0.000
5 Pr 0.250 0.250 0.750
6 Pr 0.250 0.750 0.250
7 Pr 0.750 0.250 0.250
8 Pr 0.750 0.750 0.750
9 Dy 0.250 0.250 0.250
10 Dy 0.250 0.750 0.750
11 Dy 0.750 0.250 0.750
12 Dy 0.750 0.750 0.250
13 In 0.000 0.000 0.500
14 In 0.000 0.500 0.000
15 In 0.500 0.000 0.000
16 In 0.500 0.500 0.500

Computed properties:
D(E_F)   7.129 states/eV/f.u.
Spin magnetization   0.01 μB per formula unit
Formation enthalpy at 0 K   -0.26 eV per formula unit